one.
{
  "formula": "CoOsSeN2",
  "functional": "GGA-PBE",
  "state": "optimized geometry",
  "lattice": [[3.743, 0.000, 0.000], [0.000, 3.743, 0.000], [0.000, 0.000, 5.575]],
  "species": ["Co", "Os", "Se", "N", "N"],
  "frac_coords": [[0.000, 0.000, 0.000], [0.500, 0.500, 0.500], [0.500, 0.500, 0.000], [0.000, 0.500, 0.500], [0.500, 0.000, 0.500]],
  "n_ef_per_ev_cell": 6.6,
  "m_tot_mub_per_atom": 0.485,
  "density_g_cm3": 7.570
}

---

two.
{
  "formula": "CoOsSeN2",
  "functional": "GGA-PBE",
  "state": "optimized geometry",
  "lattice": [[3.505, 0.000, 0.000], [0.000, 3.505, 0.000], [0.000, 0.000, 6.291]],
  "species": ["Co", "Os", "Se", "N", "N"],
  "frac_coords": [[0.000, 0.000, 0.000], [0.500, 0.500, 0.500], [0.000, 0.000, 0.500], [0.000, 0.500, 0.000], [0.500, 0.000, 0.000]],
  "n_ef_per_ev_cell": 4.3,
  "m_tot_mub_per_atom": 0.248,
  "density_g_cm3": 7.652
}

---

Comparing the structures above, one comes out on top by 0.726 eV/atom.